Material: CoCuNi
Method: DFT, GGA-PBE
State: relaxed

## Properties
- crystal system = orthorhombic
- offset from the most stable computed form (meV/atom) = 72
- total DFT energy (no corrections) (eV per atom) = -5.576
- Fermi-level density of states (states/eV/cell) = 6.97

Unit cell a=2.4994 b=3.5813 c=7.5360 alpha=90.00 beta=90.00 gamma=90.00
Space group Imm2 (No. 44)
Unique sites:
Co 0.0000 0.0000 0.0000 [2 per cell]
Cu 0.0000 0.0000 0.6694 [2 per cell]
Ni 0.0000 0.0000 0.3390 [2 per cell]